(1)
{
  "formula": "LaHgAs2Br",
  "functional": "PBE",
  "state": "relaxed",
  "e_above_lowest_polymorph_mev_per_atom": 76,
  "cell": [[5.979, 0.000, 0.000], [0.000, 5.979, 0.000], [0.000, 0.000, 5.873]],
  "species": ["Hg", "As", "La", "Br", "As"],
  "frac_coords": [[0.500, 0.500, 0.500], [0.000, 0.500, 0.000], [0.000, 0.000, 0.000], [0.000, 0.000, 0.500], [0.500, 0.000, 0.000]]
}

(2)
{
  "formula": "LaHgAsBr2",
  "functional": "PBE",
  "state": "relaxed",
  "e_above_lowest_polymorph_mev_per_atom": 444,
  "cell": [[-1.289, -1.680, -4.953], [-3.177, -3.801, 2.116], [-4.175, 3.444, -0.082]],
  "species": ["Hg", "Br", "Br", "As", "La"],
  "frac_coords": [[0.000, 0.000, 0.000], [0.500, 0.000, 0.000], [0.000, 0.500, 0.000], [0.000, 0.000, 0.500], [0.500, 0.500, 0.500]]
}

(3)
{
  "formula": "LiHgAs2Br",
  "functional": "PBE",
  "state": "relaxed",
  "e_above_lowest_polymorph_mev_per_atom": 0,
  "cell": [[-2.504, -3.252, -2.544], [0.492, -3.189, 3.592], [-4.182, 1.636, 2.026]],
  "species": ["Li", "Hg", "Br", "As", "As"],
  "frac_coords": [[0.000, 0.000, 0.000], [0.500, 0.500, 0.500], [0.000, 0.000, 0.500], [0.500, 0.000, 0.000], [0.000, 0.500, 0.000]]
}

(4)
{
  "formula": "MgHgAsBr2",
  "functional": "PBE",
  "state": "relaxed",
  "e_above_lowest_polymorph_mev_per_atom": 0,
  "cell": [[5.132, 0.000, 0.000], [0.000, 5.132, 0.000], [0.000, 0.000, 5.722]],
  "species": ["As", "Mg", "Br", "Hg", "Br"],
  "frac_coords": [[0.000, 0.000, 0.500], [0.000, 0.000, 0.000], [0.000, 0.500, 0.000], [0.500, 0.500, 0.500], [0.500, 0.000, 0.000]]
}

(5)
{
  "formula": "MnHgAs2Br",
  "functional": "PBE",
  "state": "relaxed",
  "e_above_lowest_polymorph_mev_per_atom": 0,
  "cell": [[-3.850, 2.230, 1.471], [0.251, -2.267, 4.093], [3.059, 3.957, 2.004]],
  "species": ["As", "As", "Hg", "Br", "Mn"],
  "frac_coords": [[0.500, 0.000, 0.000], [0.000, 0.500, 0.000], [0.500, 0.500, 0.500], [0.000, 0.000, 0.500], [0.000, 0.000, 0.000]]
}

(6)
{
  "formula": "HgMoAsBr2",
  "functional": "PBE",
  "state": "relaxed",
  "e_above_lowest_polymorph_mev_per_atom": 0,
  "cell": [[5.286, 0.000, 0.000], [0.000, 5.286, 0.000], [0.000, 0.000, 4.907]],
  "species": ["Br", "Mo", "Br", "As", "Hg"],
  "frac_coords": [[0.000, 0.500, 0.000], [0.000, 0.000, 0.000], [0.500, 0.000, 0.000], [0.000, 0.000, 0.500], [0.500, 0.500, 0.500]]
}

Number 1: formation energy (no corrections) -0.04 eV per atom. Number 2: formation energy (no corrections) -0.32 eV per atom. Number 3: formation energy (no corrections) 0.36 eV per atom. Number 4: formation energy (no corrections) -0.19 eV per atom. Number 5: formation energy (no corrections) 0.24 eV per atom. Number 6: formation energy (no corrections) 0.17 eV per atom.